(1)
4
Lattice="3.388 0.000 0.000 0.000 3.388 0.000 0.000 0.000 8.467" Properties=species:S:1:pos:R:3 comment="TmPa2Mo (GGA-PBE, relaxed)" ef_ev_per_atom=0.199 magmom_total_mub_per_cell=0.000 pbc="T T T"
Tm 0.000 0.000 0.000
Pa 1.694 1.694 2.470
Pa 1.694 1.694 5.997
Mo 0.000 0.000 4.234

(2)
4
Lattice="1.843 1.064 8.867 -1.843 1.064 8.867 0.000 -2.128 8.867" Properties=species:S:1:pos:R:3 comment="TmPa2Mo (GGA-PBE, relaxed)" ef_ev_per_atom=0.428 magmom_total_mub_per_cell=0.000 pbc="T T T"
Tm 0.000 0.000 0.000
Pa 0.000 0.000 6.172
Pa 0.000 0.000 20.430
Mo 0.000 0.000 13.301

(3)
6
Lattice="-1.594 1.594 14.225 1.594 -1.594 14.225 1.594 1.594 -14.225" Properties=species:S:1:pos:R:3 comment="TmPaMo (GGA-PBE, relaxed)" ef_ev_per_atom=0.219 magmom_total_mub_per_cell=0.000 pbc="T T T"
Tm 0.000 0.000 1.658
Tm 0.000 0.000 26.792
Pa 0.000 0.000 9.922
Pa 0.000 0.000 18.528
Mo 0.000 0.000 6.384
Mo 0.000 0.000 22.066

(4)
4
Lattice="3.468 0.000 0.000 0.000 3.468 0.000 0.000 0.000 7.120" Properties=species:S:1:pos:R:3 comment="UPa2Mo (GGA-PBE, relaxed)" ef_ev_per_atom=0.137 magmom_total_mub_per_cell=0.028 pbc="T T T"
U 0.000 0.000 0.000
Pa 1.734 1.734 1.817
Pa 1.734 1.734 5.304
Mo 0.000 0.000 3.560

(5)
4
Lattice="1.543 0.891 10.467 -1.543 0.891 10.467 0.000 -1.781 10.467" Properties=species:S:1:pos:R:3 comment="UPa2Mo (GGA-PBE, relaxed)" ef_ev_per_atom=0.374 magmom_total_mub_per_cell=0.007 pbc="T T T"
U 0.000 0.000 0.000
Pa 0.000 0.000 2.906
Pa 0.000 0.000 28.495
Mo 0.000 0.000 15.701

(6)
4
Lattice="0.000 3.490 3.490 3.490 0.000 3.490 3.490 3.490 0.000" Properties=species:S:1:pos:R:3 comment="UPa2Mo (GGA-PBE, relaxed)" ef_ev_per_atom=0.236 magmom_total_mub_per_cell=3.140 pbc="T T T"
U 0.000 0.000 0.000
Pa 1.745 1.745 1.745
Pa 5.235 5.235 5.235
Mo 3.490 3.490 3.490

(7)
6
Lattice="0.000 3.626 3.626 3.626 0.000 3.626 3.626 3.626 0.000" Properties=species:S:1:pos:R:3 comment="PaV4Mo (GGA-PBE, relaxed)" ef_ev_per_atom=0.124 magmom_total_mub_per_cell=0.000 pbc="T T T"
Pa 0.000 0.000 0.000
V 2.716 2.716 2.716
V 4.536 4.536 2.716
V 4.536 2.716 4.536
V 2.716 4.536 4.536
Mo 5.438 5.438 5.438

(8)
4
Lattice="1.636 0.944 9.037 -1.636 0.944 9.037 0.000 -1.889 9.037" Properties=species:S:1:pos:R:3 comment="Pa2VMo (GGA-PBE, relaxed)" ef_ev_per_atom=0.466 magmom_total_mub_per_cell=2.376 pbc="T T T"
Pa 0.000 0.000 6.746
Pa 0.000 0.000 20.364
V 0.000 0.000 0.000
Mo 0.000 0.000 13.555